{
  "formula": "CaLaZnRu",
  "functional": "PBE",
  "state": "optimized geometry",
  "formation_enthalpy_0k_mev_per_atom": -90,
  "crystal_system": "cubic",
  "cell": [[-2.681, -0.204, -4.297], [-1.436, -4.483, -1.880], [-4.884, -1.352, 0.121]],
  "species": ["Zn", "Ca", "La", "Ru"],
  "fractional_positions": [[0.500, 0.500, 0.500], [0.750, 0.750, 0.750], [0.250, 0.250, 0.250], [0.000, 0.000, 0.000]]
}

=====

{
  "formula": "CaLa5S6",
  "functional": "PBE",
  "state": "optimized geometry",
  "crystal_system": "monoclinic",
  "e_form_raw_ev_per_atom": -2.14,
  "cell": [[7.085, 0.172, 1.076], [1.740, 6.002, 3.499], [0.118, 0.059, 7.170]],
  "species": ["La", "La", "La", "La", "La", "S", "S", "S", "S", "S", "S", "Ca"],
  "fractional_positions": [[0.000, 0.334, 0.333], [0.000, 0.666, 0.667], [0.500, 0.168, 0.664], [0.500, 0.500, 0.000], [0.500, 0.832, 0.336], [0.755, 0.408, 0.674], [0.245, 0.918, 0.674], [0.754, 0.756, 0.000], [0.755, 0.082, 0.326], [0.245, 0.592, 0.326], [0.246, 0.244, 0.000], [0.000, 0.000, 0.000]]
}

=====

{
  "formula": "CaLaS2",
  "functional": "PBE",
  "state": "optimized geometry",
  "crystal_system": "tetragonal",
  "e_form_raw_ev_per_atom": -1.72,
  "cell": [[6.413, 0.000, 0.000], [0.000, 6.413, 0.000], [3.207, 3.207, 6.434]],
  "species": ["La", "La", "Ca", "Ca", "S", "S", "S", "S"],
  "fractional_positions": [[0.000, 0.000, 0.000], [0.750, 0.250, 0.500], [0.250, 0.750, 0.500], [0.500, 0.500, 0.000], [0.875, 0.867, 0.750], [0.617, 0.125, 0.250], [0.133, 0.625, 0.250], [0.375, 0.383, 0.750]]
}

=====

{
  "formula": "Ca2LaS2",
  "functional": "PBE",
  "state": "optimized geometry",
  "crystal_system": "tetragonal",
  "e_form_raw_ev_per_atom": -1.41,
  "cell": [[7.895, 0.000, 0.000], [0.000, 7.895, 0.000], [0.000, 0.000, 3.874]],
  "species": ["La", "La", "Ca", "Ca", "Ca", "Ca", "S", "S", "S", "S"],
  "fractional_positions": [[0.000, 0.000, 0.000], [0.500, 0.500, 0.000], [0.847, 0.347, 0.500], [0.347, 0.153, 0.500], [0.153, 0.653, 0.500], [0.653, 0.847, 0.500], [0.846, 0.654, 0.000], [0.346, 0.846, 0.000], [0.654, 0.154, 0.000], [0.154, 0.346, 0.000]]
}

=====

{
  "formula": "CaLaS2",
  "functional": "PBE",
  "state": "optimized geometry",
  "crystal_system": "hexagonal",
  "e_form_raw_ev_per_atom": -2.05,
  "cell": [[-3.274, 1.779, 1.575], [2.511, -2.090, 2.385], [7.379, 11.519, 2.328]],
  "species": ["La", "La", "S", "S", "S", "S", "Ca", "Ca"],
  "fractional_positions": [[0.000, 0.000, 0.000], [0.000, 0.000, 0.500], [0.333, 0.667, 0.373], [0.667, 0.333, 0.873], [0.333, 0.667, 0.127], [0.667, 0.333, 0.627], [0.667, 0.333, 0.250], [0.333, 0.667, 0.750]]
}

=====

{
  "formula": "CaLa3S4",
  "functional": "PBE",
  "state": "optimized geometry",
  "crystal_system": "orthorhombic",
  "e_form_raw_ev_per_atom": -2.13,
  "cell": [[-1.646, -1.524, 3.444], [-5.789, -2.066, -3.681], [4.825, -5.297, -0.038]],
  "species": ["La", "La", "La", "Ca", "S", "S", "S", "S"],
  "fractional_positions": [[0.500, 0.500, 0.500], [0.000, 0.000, 0.500], [0.000, 0.500, 0.000], [0.500, 0.000, 0.000], [0.500, 0.245, 0.755], [0.500, 0.755, 0.245], [0.000, 0.758, 0.758], [0.000, 0.242, 0.242]]
}